First-principles (PBE) data for a geometry-optimized PmNi4B2 structure, as listed in Alexandria.

## Properties
Its energy of formation from the pure elements is -156 meV/atom. The calculation puts the total magnetization at 0.0 μB/cell. The density of states at the Fermi level is 3.49 states/eV/f.u.

abc: 3.4989 6.0379 8.2131
angles: 90.00 90.00 90.00
Space group Immm (No. 71)
Asymmetric unit:
Pm (0.0000, 0.0000, 0.0000) x2
Ni (0.0000, 0.1901, 0.3399) x8
B (0.0000, 0.5000, 0.2074) x4